Entry from Alexandria via LeMat-Bulk: an optimized crystal structure of BaMoIr (GGA-PBEsol).

Computed properties:
Space-group type ... No. 216
Magnetization ... 0.000 μB per formula unit
DFT formation energy ... 1.146 eV per atom

Cell: 4.563 4.563 4.563 Å, 60.00 60.00 60.00°
Sites, in units of the cell vectors:
Ir1 0.500 0.500 0.500
Mo1 0.250 0.250 0.250
Ba1 0.000 0.000 0.000